Entry 1:
First-principles (PBE) data for a relaxed structure of Dy2ErTmAl2, as listed in the Open Quantum Materials Database.

Structure (POSCAR):
```
Dy2ErTmAl2
1.0
5.2122 0.0000 0.0000
-2.6061 4.5139 0.0000
0.0000 0.0000 6.5962
Al Dy Er Tm
2 2 1 1
Cartesian
0.0000 0.0000 0.0000
2.6061 1.5046 3.2981
0.0000 3.0093 1.6460
0.0000 3.0093 4.9502
0.0000 0.0000 3.2981
2.6061 1.5046 0.0000
```

Computed properties:
Its space-group type is No. 187.

=====

Entry 2:
First-principles (PBE) data for a relaxed structure of DyErTm2Al4, as listed in the Open Quantum Materials Database.

Structure (POSCAR):
```
DyErTm2Al4
1.0
-1.4325 3.5037 -5.5532
0.0974 5.8780 3.6835
4.1950 5.0968 2.1337
Al Dy Er Tm
4 1 1 2
Cartesian
1.4436 5.0941 1.2491
0.5721 7.2257 -2.1293
2.1301 7.6333 1.7843
1.5720 8.9982 -0.3791
0.2315 0.5920 0.3138
3.3475 12.1418 2.7306
0.2383 4.1923 -1.4830
3.3373 8.5328 4.5228
```

Computed properties:
Its space-group type is No. 38.

=====

Entry 3:
First-principles (PBE) data for a relaxed structure of Dy2ErTmAl4, as listed in the Open Quantum Materials Database.

Structure (POSCAR):
```
Dy2ErTmAl4
1.0
6.7191 0.0000 0.0000
0.0000 2.1979 6.7396
0.0000 -2.1979 6.7396
Al Dy Er Tm
4 2 1 1
Cartesian
1.3231 0.0000 1.2962
5.3960 0.0000 1.2962
2.0399 0.0000 12.1854
4.6792 0.0000 12.1854
3.3596 0.0000 3.7193
0.0000 0.0000 9.7610
0.0000 0.0000 6.0578
3.3596 0.0000 7.4156
```

Computed properties:
Its space-group type is No. 38.

=====

Entry 4:
First-principles (PBE) data for a relaxed structure of DyEr2TmAl2, as listed in the Open Quantum Materials Database.

Structure (POSCAR):
```
DyEr2TmAl2
1.0
5.1929 0.0000 0.0000
-2.5964 4.4972 0.0000
0.0000 0.0000 6.5869
Al Dy Er Tm
2 1 2 1
Cartesian
0.0000 2.9981 0.0000
2.5964 1.4991 3.2934
2.5964 1.4991 0.0000
0.0000 0.0000 1.6572
0.0000 0.0000 4.9297
0.0000 2.9981 3.2934
```

Computed properties:
Its space-group type is No. 187.

=====

Entry 5:
First-principles (PBE) data for a relaxed structure of Dy2YErAl4, as listed in the Open Quantum Materials Database.

Structure (POSCAR):
```
Dy2YErAl4
1.0
-1.1507 -6.3718 -1.9031
6.7704 -1.6079 1.2896
4.4542 -2.2969 4.9971
Al Dy Er Y
4 2 1 1
Cartesian
0.8575 -1.6252 0.2337
0.1578 -5.5001 -0.9236
9.7940 -5.4759 5.1011
9.3464 -7.9548 4.3607
2.5263 -4.2649 0.7857
8.1219 -2.8254 4.5490
5.6177 -5.3403 2.5171
5.0244 -1.7479 2.8141
```

Computed properties:
Its space-group type is No. 38.

=====

Entry 6:
First-principles (PBE) data for a relaxed structure of DyAlFe, as listed in the Open Quantum Materials Database.

Structure (POSCAR):
```
DyAlFe
1.0
0.0000 3.2209 3.2209
3.2209 0.0000 3.2209
3.2209 3.2209 0.0000
Al Dy Fe
1 1 1
Cartesian
1.6104 1.6104 1.6104
0.0000 0.0000 0.0000
4.8313 4.8313 4.8313
```

Computed properties:
Its space-group type is No. 216.

=====

What are the total DFT energy (no corrections) values for these records? In order: -4.558, -4.514, -4.536, -4.559, -4.795, -4.679 eV per atom.